# GePSN GGA-PBE optimized geometry
# **Energy**: -5.61 eV per atom
# **Formation energy (no corrections)**: 0.01 eV per atom
# **E above lowest polymorph**: 0.3 kJ/mol of formula units
data_GePSN
_chemical_formula_sum 'Ge1 P1 S1 N1'
_cell_length_a 3.0948
_cell_length_b 4.6663
_cell_length_c 6.9536
_cell_angle_alpha 91.42
_cell_angle_beta 101.80
_cell_angle_gamma 109.36
_symmetry_space_group_name_H-M 'P 1'
_symmetry_Int_Tables_number 1
loop_
_symmetry_equiv_pos_as_xyz
'x,y,z'
loop_
_atom_site_label
_atom_site_fract_x
_atom_site_fract_y
_atom_site_fract_z
Ge1 0.0000 0.0000 0.0000
P1 0.3784 0.5210 0.2563
S1 0.0184 0.6015 0.4738
N1 0.4532 0.8023 0.1131


# GePSN GGA-PBE optimized geometry
# **Energy**: -5.56 eV per atom
# **N(E_F)**: 2.1 states/eV/cell
# **Formation energy (no corrections)**: 0.06 eV per atom
# **E above lowest polymorph**: 19.3 kJ/mol of formula units
data_GePSN
_chemical_formula_sum 'Ge2 P2 S2 N2'
_cell_length_a 9.1794
_cell_length_b 2.6953
_cell_length_c 7.1726
_cell_angle_alpha 90.00
_cell_angle_beta 123.11
_cell_angle_gamma 90.00
_symmetry_space_group_name_H-M 'C 1 m 1'
_symmetry_Int_Tables_number 8
loop_
_symmetry_equiv_pos_as_xyz
'x,y,z'
'x,-y,z'
'x+1/2,y+1/2,z'
'x+1/2,-y+1/2,z'
loop_
_atom_site_label
_atom_site_fract_x
_atom_site_fract_y
_atom_site_fract_z
Ge1 0.0000 0.0000 0.0000
P1 0.1054 0.0000 0.7346
S1 0.4357 0.5000 0.3812
N1 0.2367 0.5000 0.8025


# GePS2N GGA-PBE optimized geometry
# **Energy**: -3.59 eV per atom
# **N(E_F)**: 3.9 states/eV/cell
# **Formation energy (no corrections)**: 1.73 eV per atom
# **E above lowest polymorph**: 601.3 kJ/mol of formula units
data_GePS2N
_chemical_formula_sum 'Ge1 P1 S2 N1'
_cell_length_a 4.7014
_cell_length_b 4.7014
_cell_length_c 4.9415
_cell_angle_alpha 90.00
_cell_angle_beta 90.00
_cell_angle_gamma 90.00
_symmetry_space_group_name_H-M 'P 4/m m m'
_symmetry_Int_Tables_number 123
_symmetry_space_group_name_Hall '-P 4 2'
loop_
_atom_site_label
_atom_site_fract_x
_atom_site_fract_y
_atom_site_fract_z
Ge1 0.0000 0.0000 0.0000
P1 0.0000 0.0000 0.5000
S1 0.0000 0.5000 0.0000
N1 0.5000 0.5000 0.5000


# GePS2N GGA-PBE optimized geometry
# **Energy**: -4.84 eV per atom
# **N(E_F)**: 1.6 states/eV/cell
# **Formation energy (no corrections)**: 0.48 eV per atom
# **E above lowest polymorph**: 0.0 kJ/mol of formula units
data_GePS2N
_chemical_formula_sum 'Ge1 P1 S2 N1'
_cell_length_a 4.7364
_cell_length_b 4.7364
_cell_length_c 3.3222
_cell_angle_alpha 90.00
_cell_angle_beta 90.00
_cell_angle_gamma 90.00
_symmetry_space_group_name_H-M 'P 4/m m m'
_symmetry_Int_Tables_number 123
_symmetry_space_group_name_Hall '-P 4 2'
loop_
_atom_site_label
_atom_site_fract_x
_atom_site_fract_y
_atom_site_fract_z
Ge1 0.0000 0.0000 0.0000
P1 0.5000 0.5000 0.5000
S1 0.0000 0.5000 0.5000
N1 0.5000 0.5000 0.0000


# GePSN GGA-PBE optimized geometry
# **Energy**: -5.28 eV per atom
# **N(E_F)**: 1.1 states/eV/cell
# **Formation energy (no corrections)**: 0.34 eV per atom
# **E above lowest polymorph**: 127.5 kJ/mol of formula units
data_GePSN
_chemical_formula_sum 'Ge2 P2 S2 N2'
_cell_length_a 5.3270
_cell_length_b 3.0881
_cell_length_c 8.2074
_cell_angle_alpha 90.00
_cell_angle_beta 101.48
_cell_angle_gamma 90.00
_symmetry_space_group_name_H-M 'C 1 m 1'
_symmetry_Int_Tables_number 8
loop_
_symmetry_equiv_pos_as_xyz
'x,y,z'
'x,-y,z'
'x+1/2,y+1/2,z'
'x+1/2,-y+1/2,z'
loop_
_atom_site_label
_atom_site_fract_x
_atom_site_fract_y
_atom_site_fract_z
Ge1 0.0000 0.0000 0.0000
P1 0.0709 0.5000 0.7114
S1 0.3484 0.5000 0.5289
N1 0.3606 0.0000 0.0874


# GePSN GGA-PBE optimized geometry
# **Energy**: -5.27 eV per atom
# **N(E_F)**: 0.3 states/eV/cell
# **Formation energy (no corrections)**: 0.35 eV per atom
# **E above lowest polymorph**: 130.6 kJ/mol of formula units
data_GePSN
_chemical_formula_sum 'Ge1 P1 S1 N1'
_cell_length_a 3.0811
_cell_length_b 3.3090
_cell_length_c 8.0184
_cell_angle_alpha 79.91
_cell_angle_beta 89.94
_cell_angle_gamma 62.25
_symmetry_space_group_name_H-M 'P 1'
_symmetry_Int_Tables_number 1
loop_
_symmetry_equiv_pos_as_xyz
'x,y,z'
loop_
_atom_site_label
_atom_site_fract_x
_atom_site_fract_y
_atom_site_fract_z
Ge1 0.0000 0.0000 0.0000
P1 0.2984 0.4007 0.2951
S1 0.7397 0.5171 0.4702
N1 0.3129 0.3746 0.9186


# GePSN GGA-PBE optimized geometry
# **Energy**: -5.61 eV per atom
# **Formation energy (no corrections)**: 0.01 eV per atom
# **E above lowest polymorph**: 0.0 kJ/mol of formula units
data_GePSN
_chemical_formula_sum 'Ge2 P2 S2 N2'
_cell_length_a 8.8380
_cell_length_b 3.0951
_cell_length_c 6.4626
_cell_angle_alpha 90.00
_cell_angle_beta 90.73
_cell_angle_gamma 90.00
_symmetry_space_group_name_H-M 'C 1 m 1'
_symmetry_Int_Tables_number 8
loop_
_symmetry_equiv_pos_as_xyz
'x,y,z'
'x,-y,z'
'x+1/2,y+1/2,z'
'x+1/2,-y+1/2,z'
loop_
_atom_site_label
_atom_site_fract_x
_atom_site_fract_y
_atom_site_fract_z
Ge1 0.0000 0.0000 0.0000
P1 0.2609 0.5000 0.2689
S1 0.2401 0.0000 0.4974
N1 0.1081 0.5000 0.1192


# GeP2SN GGA-PBE optimized geometry
# **Energy**: -4.60 eV per atom
# **N(E_F)**: 2.6 states/eV/cell
# **Formation energy (no corrections)**: 0.98 eV per atom
# **E above lowest polymorph**: 0.0 kJ/mol of formula units
data_GeP2SN
_chemical_formula_sum 'Ge1 P2 S1 N1'
_cell_length_a 4.0929
_cell_length_b 4.0929
_cell_length_c 4.3568
_cell_angle_alpha 90.00
_cell_angle_beta 90.00
_cell_angle_gamma 90.00
_symmetry_space_group_name_H-M 'P 4/m m m'
_symmetry_Int_Tables_number 123
_symmetry_space_group_name_Hall '-P 4 2'
loop_
_atom_site_label
_atom_site_fract_x
_atom_site_fract_y
_atom_site_fract_z
Ge1 0.0000 0.0000 0.0000
P1 0.0000 0.5000 0.5000
S1 0.5000 0.5000 0.0000
N1 0.5000 0.5000 0.5000